Entry 1:
# Fe5Co2ReMo2, relaxed, DFT PBE-GGA
# N(E_F) = 19.68 states/eV/cell
# Energy of formation = 0.1714 eV per atom
# Final energy = -8.89 eV per atom
data_Fe5Co2ReMo2
_space_group_name_H-M_alt 'P 4/m b m'
_space_group_IT_number 127
_space_group_name_Hall '-P 4 2ab'
_cell_length_a 8.111
_cell_length_b 8.111
_cell_length_c 3.793
_cell_angle_alpha 90.00
_cell_angle_beta 90.00
_cell_angle_gamma 90.00
loop_
_atom_site_label
_atom_site_type_symbol
_atom_site_fract_x
_atom_site_fract_y
_atom_site_fract_z
_atom_site_occupancy
Fe1 Fe 0.000 0.500 0.000 1
Fe2 Fe 0.062 0.204 0.000 1
Co1 Co 0.124 0.376 0.500 1
Re1 Re 0.000 0.000 0.500 1
Mo1 Mo 0.173 0.673 0.500 1

---

Entry 2:
# Cs2TcSeF6, relaxed, DFT PBE-GGA
# Raw formation energy = -2039 meV/atom
# N(E_F) = 0.00 states/eV/cell
# Final energy = -4.72 eV per atom
data_Cs2TcSeF6
_space_group_name_H-M_alt 'I 4/m m m'
_space_group_IT_number 139
_space_group_name_Hall '-I 4 2'
_cell_length_a 6.711
_cell_length_b 6.711
_cell_length_c 10.526
_cell_angle_alpha 90.00
_cell_angle_beta 90.00
_cell_angle_gamma 90.00
loop_
_atom_site_label
_atom_site_type_symbol
_atom_site_fract_x
_atom_site_fract_y
_atom_site_fract_z
_atom_site_occupancy
Cs1 Cs 0.000 0.500 0.250 1
Tc1 Tc 0.000 0.000 0.000 1
Se1 Se 0.000 0.000 0.500 1
F1 F 0.000 0.000 0.187 1
F2 F 0.208 0.208 0.000 1

---

Entry 3:
# Ca2HfBeI, relaxed, DFT PBE-GGA
# Raw formation energy = 782 meV/atom
# N(E_F) = 5.34 states/eV/cell
# Final energy = -3.07 eV per atom
data_Ca2HfBeI
_space_group_name_H-M_alt 'P 4/m m m'
_space_group_IT_number 123
_space_group_name_Hall '-P 4 2'
_cell_length_a 6.234
_cell_length_b 6.234
_cell_length_c 4.615
_cell_angle_alpha 90.00
_cell_angle_beta 90.00
_cell_angle_gamma 90.00
loop_
_atom_site_label
_atom_site_type_symbol
_atom_site_fract_x
_atom_site_fract_y
_atom_site_fract_z
_atom_site_occupancy
Ca1 Ca 0.000 0.500 0.000 1
Hf1 Hf 0.000 0.000 0.000 1
Be1 Be 0.000 0.000 0.500 1
I1 I 0.500 0.500 0.500 1

---

Entry 4:
# LaPrGdTl, relaxed, DFT PBE-GGA
# N(E_F) = 23.16 states/eV/cell
# Energy of formation = -0.1177 eV per atom
# Final energy = -6.66 eV per atom
data_LaPrGdTl
_space_group_name_H-M_alt 'F -4 3 m'
_space_group_IT_number 216
_space_group_name_Hall 'F -4 2 3'
_cell_length_a 7.988
_cell_length_b 7.988
_cell_length_c 7.988
_cell_angle_alpha 90.00
_cell_angle_beta 90.00
_cell_angle_gamma 90.00
loop_
_atom_site_label
_atom_site_type_symbol
_atom_site_fract_x
_atom_site_fract_y
_atom_site_fract_z
_atom_site_occupancy
La1 La 0.000 0.000 0.000 1
Pr1 Pr 0.000 0.000 0.500 1
Gd1 Gd 0.250 0.250 0.750 1
Tl1 Tl 0.250 0.250 0.250 1

---

Entry 5:
# RbTaSbO6, relaxed, DFT PBE-GGA
# Raw formation energy = -1860 meV/atom
# N(E_F) = 5.05 states/eV/cell
# Final energy = -7.05 eV per atom
data_RbTaSbO6
_space_group_name_H-M_alt 'P 3 1 2'
_space_group_IT_number 149
_cell_length_a 5.5065
_cell_length_b 5.5065
_cell_length_c 6.1554
_cell_angle_alpha 90.00
_cell_angle_beta 90.00
_cell_angle_gamma 120.00
loop_
_space_group_symop_operation_xyz
'x,y,z'
'-y,x-y,z'
'-x+y,-x,z'
'-y,-x,-z'
'-x+y,y,-z'
'x,x-y,-z'
loop_
_atom_site_label
_atom_site_type_symbol
_atom_site_fract_x
_atom_site_fract_y
_atom_site_fract_z
_atom_site_occupancy
Rb1 Rb 0.0000 0.0000 0.0000 1
Ta1 Ta 0.6667 0.3333 0.5000 1
Sb1 Sb 0.3333 0.6667 0.5000 1
O1 O 0.4036 0.0008 0.3201 1

---

Entry 6:
# ErFe2Ge4, relaxed, DFT PBE-GGA
# N(E_F) = 15.26 states/eV/cell
# Energy of formation = -0.3068 eV per atom
# Final energy = -6.02 eV per atom
data_ErFe2Ge4
_space_group_name_H-M_alt 'P n m a'
_space_group_IT_number 62
_cell_length_a 16.621
_cell_length_b 4.002
_cell_length_c 6.598
_cell_angle_alpha 90.00
_cell_angle_beta 90.00
_cell_angle_gamma 90.00
loop_
_space_group_symop_operation_xyz
'x,y,z'
'-x,-y,-z'
'-x+1/2,-y,z+1/2'
'x+1/2,y,-z+1/2'
'x+1/2,-y+1/2,-z+1/2'
'-x+1/2,y+1/2,z+1/2'
'-x,y+1/2,-z'
'x,-y+1/2,z'
loop_
_atom_site_label
_atom_site_type_symbol
_atom_site_fract_x
_atom_site_fract_y
_atom_site_fract_z
_atom_site_occupancy
Er1 Er 0.143 0.250 0.046 1
Fe1 Fe 0.042 0.750 0.757 1
Fe2 Fe 0.205 0.250 0.532 1
Ge1 Ge 0.025 0.750 0.134 1
Ge2 Ge 0.061 0.250 0.503 1
Ge3 Ge 0.190 0.750 0.750 1
Ge4 Ge 0.195 0.750 0.323 1

---

Entry 7:
# PaGeRu2, relaxed, DFT PBE-GGA
# Energy above the lowest structure with this stoichiometry = 41 meV per atom
# N(E_F) = 2.29 states/eV/cell
# Energy of formation = -0.5052 eV per atom
# Final energy = -8.67 eV per atom
data_PaGeRu2
_space_group_name_H-M_alt 'P 4/m m m'
_space_group_IT_number 123
_space_group_name_Hall '-P 4 2'
_cell_length_a 4.289
_cell_length_b 4.289
_cell_length_c 3.731
_cell_angle_alpha 90.00
_cell_angle_beta 90.00
_cell_angle_gamma 90.00
loop_
_atom_site_label
_atom_site_type_symbol
_atom_site_fract_x
_atom_site_fract_y
_atom_site_fract_z
_atom_site_occupancy
Pa1 Pa 0.000 0.000 0.000 1
Ge1 Ge 0.500 0.500 0.000 1
Ru1 Ru 0.000 0.500 0.500 1

---

Entry 8:
# NaCd4In8, relaxed, DFT PBE-GGA
# Energy above the lowest structure with this stoichiometry = 0 meV per atom
# N(E_F) = 10.06 states/eV/cell
# Energy of formation = 0.0073 eV per atom
# Final energy = -2.06 eV per atom
data_NaCd4In8
_space_group_name_H-M_alt 'I 4/m m m'
_space_group_IT_number 139
_space_group_name_Hall '-I 4 2'
_cell_length_a 11.037
_cell_length_b 11.037
_cell_length_c 5.754
_cell_angle_alpha 90.00
_cell_angle_beta 90.00
_cell_angle_gamma 90.00
loop_
_atom_site_label
_atom_site_type_symbol
_atom_site_fract_x
_atom_site_fract_y
_atom_site_fract_z
_atom_site_occupancy
Na1 Na 0.000 0.000 0.000 1
Cd1 Cd 0.250 0.250 0.250 1
In1 In 0.000 0.207 0.500 1
In2 In 0.000 0.354 0.000 1

---

Entry 9:
# La6SbAs2P3, relaxed, DFT PBE-GGA
# Raw formation energy = -1506 meV/atom
# N(E_F) = 2.72 states/eV/cell
# Final energy = -6.44 eV per atom
data_La6SbAs2P3
_space_group_name_H-M_alt 'C 1 2/m 1'
_space_group_IT_number 12
_cell_length_a 19.057
_cell_length_b 4.361
_cell_length_c 8.758
_cell_angle_alpha 90.00
_cell_angle_beta 103.43
_cell_angle_gamma 90.00
loop_
_space_group_symop_operation_xyz
'x,y,z'
'-x,-y,-z'
'-x,y,-z'
'x,-y,z'
'x+1/2,y+1/2,z'
'-x+1/2,-y+1/2,-z'
'-x+1/2,y+1/2,-z'
'x+1/2,-y+1/2,z'
loop_
_atom_site_label
_atom_site_type_symbol
_atom_site_fract_x
_atom_site_fract_y
_atom_site_fract_z
_atom_site_occupancy
La1 La 0.001 0.000 0.235 1
La2 La 0.166 0.500 0.086 1
La3 La 0.172 0.500 0.583 1
Sb1 Sb 0.000 0.500 0.500 1
As1 As 0.167 0.000 0.834 1
P1 P 0.000 0.500 0.000 1
P2 P 0.166 0.000 0.332 1

---

Entry 10:
# Na3BiOs, relaxed, DFT PBE-GGA
# Energy above the lowest structure with this stoichiometry = 0 meV per atom
# N(E_F) = 2.72 states/eV/cell
# Energy of formation = 1.2139 eV per atom
# Final energy = -2.60 eV per atom
data_Na3BiOs
_space_group_name_H-M_alt 'P m -3 m'
_space_group_IT_number 221
_space_group_name_Hall '-P 4 2 3'
_cell_length_a 5.607
_cell_length_b 5.607
_cell_length_c 5.607
_cell_angle_alpha 90.00
_cell_angle_beta 90.00
_cell_angle_gamma 90.00
loop_
_atom_site_label
_atom_site_type_symbol
_atom_site_fract_x
_atom_site_fract_y
_atom_site_fract_z
_atom_site_occupancy
Na1 Na 0.000 0.000 0.500 1
Bi1 Bi 0.500 0.500 0.500 1
Os1 Os 0.000 0.000 0.000 1

---

Entry 11:
# DyZrCoAu, relaxed, DFT PBE-GGA
# N(E_F) = 13.40 states/eV/cell
# Energy of formation = -0.3216 eV per atom
# Final energy = -6.20 eV per atom
data_DyZrCoAu
_space_group_name_H-M_alt 'F -4 3 m'
_space_group_IT_number 216
_space_group_name_Hall 'F -4 2 3'
_cell_length_a 6.802
_cell_length_b 6.802
_cell_length_c 6.802
_cell_angle_alpha 90.00
_cell_angle_beta 90.00
_cell_angle_gamma 90.00
loop_
_atom_site_label
_atom_site_type_symbol
_atom_site_fract_x
_atom_site_fract_y
_atom_site_fract_z
_atom_site_occupancy
Dy1 Dy 0.000 0.000 0.000 1
Zr1 Zr 0.000 0.000 0.500 1
Co1 Co 0.250 0.250 0.250 1
Au1 Au 0.250 0.250 0.750 1

---

Entry 12:
# ZrBIN2, relaxed, DFT PBE-GGA
# Raw formation energy = 1151 meV/atom
# Energy above the lowest structure with this stoichiometry = 0 meV per atom
# N(E_F) = 2.35 states/eV/cell
# Final energy = -5.53 eV per atom
data_ZrBIN2
_space_group_name_H-M_alt 'P 4/m m m'
_space_group_IT_number 123
_space_group_name_Hall '-P 4 2'
_cell_length_a 4.140
_cell_length_b 4.140
_cell_length_c 6.227
_cell_angle_alpha 90.00
_cell_angle_beta 90.00
_cell_angle_gamma 90.00
loop_
_atom_site_label
_atom_site_type_symbol
_atom_site_fract_x
_atom_site_fract_y
_atom_site_fract_z
_atom_site_occupancy
Zr1 Zr 0.000 0.000 0.000 1
B1 B 0.500 0.500 0.500 1
I1 I 0.000 0.000 0.500 1
N1 N 0.000 0.500 0.000 1

---

Entry 13:
# TlMo2Ru, relaxed, DFT PBE-GGA
# Energy above the lowest structure with this stoichiometry = 0 meV per atom
# N(E_F) = 1.81 states/eV/cell
# Energy of formation = 0.3911 eV per atom
# Final energy = -7.93 eV per atom
data_TlMo2Ru
_space_group_name_H-M_alt 'P 4/m m m'
_space_group_IT_number 123
_space_group_name_Hall '-P 4 2'
_cell_length_a 2.876
_cell_length_b 2.876
_cell_length_c 8.200
_cell_angle_alpha 90.00
_cell_angle_beta 90.00
_cell_angle_gamma 90.00
loop_
_atom_site_label
_atom_site_type_symbol
_atom_site_fract_x
_atom_site_fract_y
_atom_site_fract_z
_atom_site_occupancy
Tl1 Tl 0.000 0.000 0.000 1
Mo1 Mo 0.500 0.500 0.281 1
Ru1 Ru 0.000 0.000 0.500 1

---

Entry 14:
# BeZnOs2, relaxed, DFT PBE-GGA
# N(E_F) = 8.86 states/eV/cell
# Energy of formation = 0.4226 eV per atom
# Final energy = -6.44 eV per atom
data_BeZnOs2
_space_group_name_H-M_alt 'C m m m'
_space_group_IT_number 65
_space_group_name_Hall '-C 2 2'
_cell_length_a 5.137
_cell_length_b 7.485
_cell_length_c 2.750
_cell_angle_alpha 90.00
_cell_angle_beta 90.00
_cell_angle_gamma 90.00
loop_
_atom_site_label
_atom_site_type_symbol
_atom_site_fract_x
_atom_site_fract_y
_atom_site_fract_z
_atom_site_occupancy
Be1 Be 0.000 0.000 0.000 1
Zn1 Zn 0.000 0.500 0.000 1
Os1 Os 0.250 0.250 0.500 1

---

Entry 15:
# Li2Ga2Co4C, relaxed, DFT PBE-GGA
# N(E_F) = 10.86 states/eV/cell
# Energy of formation = -0.1131 eV per atom
# Final energy = -5.39 eV per atom
data_Li2Ga2Co4C
_space_group_name_H-M_alt 'I 4/m m m'
_space_group_IT_number 139
_space_group_name_Hall '-I 4 2'
_cell_length_a 5.218
_cell_length_b 5.218
_cell_length_c 7.225
_cell_angle_alpha 90.00
_cell_angle_beta 90.00
_cell_angle_gamma 90.00
loop_
_atom_site_label
_atom_site_type_symbol
_atom_site_fract_x
_atom_site_fract_y
_atom_site_fract_z
_atom_site_occupancy
Li1 Li 0.000 0.000 0.226 1
Ga1 Ga 0.000 0.500 0.250 1
Co1 Co 0.247 0.247 0.500 1
C1 C 0.000 0.000 0.500 1

---

Entry 16:
# In2Sn2Au5, relaxed, DFT PBE-GGA
# N(E_F) = 2.93 states/eV/cell
# Energy of formation = -0.1630 eV per atom
# Final energy = -3.48 eV per atom
data_In2Sn2Au5
_space_group_name_H-M_alt 'P -1'
_space_group_IT_number 2
_cell_length_a 3.859
_cell_length_b 7.196
_cell_length_c 7.821
_cell_angle_alpha 76.79
_cell_angle_beta 75.85
_cell_angle_gamma 74.70
loop_
_space_group_symop_operation_xyz
'x,y,z'
'-x,-y,-z'
loop_
_atom_site_label
_atom_site_type_symbol
_atom_site_fract_x
_atom_site_fract_y
_atom_site_fract_z
_atom_site_occupancy
In1 In 0.055 0.127 0.264 1
Sn1 Sn 0.319 0.581 0.277 1
Au1 Au 0.000 0.500 0.000 1
Au2 Au 0.243 0.123 0.891 1
Au3 Au 0.391 0.215 0.511 1

---

Entry 17:
# ThNi3Sn3, relaxed, DFT PBE-GGA
# N(E_F) = 12.79 states/eV/cell
# Energy of formation = 0.1029 eV per atom
# Final energy = -5.15 eV per atom
data_ThNi3Sn3
_space_group_name_H-M_alt 'P m -3 n'
_space_group_IT_number 223
_space_group_name_Hall '-P 4n 2 3'
_cell_length_a 6.847
_cell_length_b 6.847
_cell_length_c 6.847
_cell_angle_alpha 90.00
_cell_angle_beta 90.00
_cell_angle_gamma 90.00
loop_
_atom_site_label
_atom_site_type_symbol
_atom_site_fract_x
_atom_site_fract_y
_atom_site_fract_z
_atom_site_occupancy
Th1 Th 0.000 0.000 0.000 1
Ni1 Ni 0.000 0.250 0.500 1
Sn1 Sn 0.000 0.500 0.250 1

---

Entry 18:
# PNF2, relaxed, DFT PBE-GGA
# Raw formation energy = 776 meV/atom
# Energy above the lowest structure with this stoichiometry = 2534 meV per atom
# N(E_F) = 3.76 states/eV/cell
# Final energy = -3.59 eV per atom
data_PNF2
_space_group_name_H-M_alt 'R -3 m'
_space_group_IT_number 166
_space_group_name_Hall '-R 3 2"'
_cell_length_a 2.5871
_cell_length_b 2.5871
_cell_length_c 21.7407
_cell_angle_alpha 90.00
_cell_angle_beta 90.00
_cell_angle_gamma 120.00
loop_
_atom_site_label
_atom_site_type_symbol
_atom_site_fract_x
_atom_site_fract_y
_atom_site_fract_z
_atom_site_occupancy
P1 P 0.0000 0.0000 0.0000 1
N1 N 0.0000 0.0000 0.5000 1
F1 F 0.0000 0.0000 0.4184 1

---

Number 1: calculated volume 12.48 Å³ per atom. Number 2: calculated volume 23.70 Å³ per atom. Number 3: calculated volume 35.87 Å³ per atom. Number 4: calculated volume 31.85 Å³ per atom. Number 5: calculated volume 17.96 Å³ per atom. Number 6: calculated volume 15.67 Å³ per atom. Number 7: calculated volume 17.16 Å³ per atom. Number 8: calculated volume 26.96 Å³ per atom. Number 9: calculated volume 29.50 Å³ per atom. Number 10: calculated volume 35.25 Å³ per atom. Number 11: calculated volume 19.67 Å³ per atom. Number 12: calculated volume 21.34 Å³ per atom. Number 13: calculated volume 16.95 Å³ per atom. Number 14: calculated volume 13.22 Å³ per atom. Number 15: calculated volume 10.93 Å³ per atom. Number 16: calculated volume 22.22 Å³ per atom. Number 17: calculated volume 22.92 Å³ per atom. Number 18: calculated volume 10.50 Å³ per atom.